Record 1
Entry from the Alexandria database: La2Pm9In after structural relaxation (PBE).

Properties
space group = P4/mmm (123)
DOS at the Fermi energy = 17.6 states/eV/cell
magnetization = 0.0 μB/cell
formation energy = -0.063 eV per atom

a b c (Å): 5.0742 5.0742 15.6110
angles (deg): 90.00 90.00 90.00
Last column: nearest neighbours and their distance in Å.
Fractional positions:
La: 0.0000 0.0000 0.1697  12 Pm 3.59-3.69
La: 0.0000 0.0000 0.8303  12 Pm 3.59-3.69
Pm: 0.0000 0.5000 0.0000  8 Pm 3.59-3.70, 4 La 3.67
Pm: 0.0000 0.5000 0.3417  8 Pm 3.54-3.66, 2 In 3.54, 2 La 3.69
Pm: 0.0000 0.5000 0.6583  2 In 3.54, 8 Pm 3.54-3.66, 2 La 3.69
Pm: 0.5000 0.0000 0.0000  8 Pm 3.59-3.70, 4 La 3.67
Pm: 0.5000 0.0000 0.3417  8 Pm 3.54-3.66, 2 In 3.54, 2 La 3.69
Pm: 0.5000 0.0000 0.6583  2 In 3.54, 8 Pm 3.54-3.66, 2 La 3.69
Pm: 0.5000 0.5000 0.1723  4 La 3.59, 8 Pm 3.66-3.70
Pm: 0.5000 0.5000 0.5000  8 Pm 3.54, 4 In 3.59
Pm: 0.5000 0.5000 0.8277  4 La 3.59, 8 Pm 3.66-3.70
In: 0.0000 0.0000 0.5000  12 Pm 3.54-3.59

Record 2
Entry from the Alexandria database: LaPm2In2 after structural relaxation (PBE).

Properties
space group = I4/mmm (139)
DOS at the Fermi energy = 13.4 states/eV/cell
magnetization = 0.0 μB/cell
offset from the most stable computed form = 220.9 meV per atom
formation energy = -0.169 eV per atom

a b c (Å): 15.5242 15.5242 15.5242
angles (deg): 162.72 162.72 24.54
Last column: nearest neighbours and their distance in Å.
Fractional positions:
La: 0.1328 0.1328 0.0000  4 In 3.53, 4 Pm 3.76
La: 0.8672 0.8672 0.0000  4 In 3.53, 4 Pm 3.76
Pm: 0.2500 0.7500 0.5000  4 In 3.27, 4 Pm 3.30
Pm: 0.4267 0.4267 0.0000  5 In 3.06-3.22
Pm: 0.5733 0.5733 0.0000  5 In 3.06-3.22
Pm: 0.7500 0.2500 0.5000  4 In 3.27, 4 Pm 3.30
In: 0.0000 0.5000 0.5000  4 Pm 3.22, 4 In 3.30
In: 0.3257 0.3257 0.0000  5 Pm 3.06-3.27
In: 0.5000 0.0000 0.5000  4 Pm 3.22, 4 In 3.30
In: 0.6743 0.6743 0.0000  5 Pm 3.06-3.27

Record 3
Entry from the Alexandria database: La5Pm4In after structural relaxation (PBE).

Properties
space group = P4/mmm (123)
DOS at the Fermi energy = 18.3 states/eV/cell
magnetization = 0.0 μB/cell
offset from the most stable computed form = 0.0 meV per atom
formation energy = -0.020 eV per atom

a b c (Å): 4.3002 4.3002 18.7238
angles (deg): 90.00 90.00 90.00
Last column: nearest neighbours and their distance in Å.
Fractional positions:
La: 0.0000 0.0000 0.0000  8 Pm 3.59, 2 La 3.77
La: 0.0000 0.0000 0.2012  8 Pm 3.56-3.61, 2 La 3.77-3.96
La: 0.0000 0.0000 0.4129  1 La 3.26, 4 In 3.45, 4 Pm 3.65
La: 0.0000 0.0000 0.5871  1 La 3.26, 4 In 3.45, 4 Pm 3.65
La: 0.0000 0.0000 0.7988  8 Pm 3.56-3.61, 2 La 3.77-3.96
Pm: 0.5000 0.5000 0.1020  8 La 3.56-3.59, 2 Pm 3.80-3.82
Pm: 0.5000 0.5000 0.3052  8 La 3.61-3.65, 1 In 3.65, 1 Pm 3.80
Pm: 0.5000 0.5000 0.6948  8 La 3.61-3.65, 1 In 3.65, 1 Pm 3.80
Pm: 0.5000 0.5000 0.8980  8 La 3.56-3.59, 2 Pm 3.80-3.82
In: 0.5000 0.5000 0.5000  8 La 3.45, 2 Pm 3.65

Record 4
Entry from the Alexandria database: LaPmIn4 after structural relaxation (PBE).

Properties
space group = Imm2 (44)
DOS at the Fermi energy = 9.1 states/eV/cell
magnetization = 0.0 μB/cell
offset from the most stable computed form = 0.0 meV per atom
formation energy = -0.487 eV per atom

a b c (Å): 4.7839 7.5957 9.2094
angles (deg): 90.00 90.00 90.00
Last column: nearest neighbours and their distance in Å.
Fractional positions:
La: 0.0000 0.0000 0.0000  10 In 3.44-3.47
La: 0.5000 0.5000 0.5000  10 In 3.44-3.47
Pm: 0.0000 0.5000 0.1157  10 In 3.40-3.49
Pm: 0.5000 0.0000 0.6157  10 In 3.40-3.49
In: 0.0000 0.2010 0.3955  4 In 2.91-3.05
In: 0.0000 0.2954 0.7146  4 In 2.91-3.11
In: 0.0000 0.7046 0.7146  4 In 2.91-3.11
In: 0.0000 0.7990 0.3955  4 In 2.91-3.05
In: 0.5000 0.2046 0.2146  4 In 2.91-3.11
In: 0.5000 0.2990 0.8955  4 In 2.91-3.05
In: 0.5000 0.7010 0.8955  4 In 2.91-3.05
In: 0.5000 0.7954 0.2146  4 In 2.91-3.11

Record 5
Entry from the Alexandria database: LaPm7In2 after structural relaxation (PBE).

Properties
space group = Cmmm (65)
DOS at the Fermi energy = 20.4 states/eV/cell
magnetization = 0.0 μB/cell
formation energy = 0.311 eV per atom

a b c (Å): 9.1145 9.1145 5.6100
angles (deg): 90.00 90.00 118.76
Last column: nearest neighbours and their distance in Å.
Fractional positions:
La: 0.0000 0.0000 0.0000  10 Pm 3.63-3.79
Pm: 0.0579 0.3031 0.5000  2 In 3.18-3.30, 2 Pm 3.35-3.54
Pm: 0.2313 0.7687 0.0000  2 In 3.03
Pm: 0.3031 0.0579 0.5000  2 In 3.18-3.30, 2 Pm 3.35-3.54
Pm: 0.5000 0.5000 0.5000  2 In 3.08
Pm: 0.6969 0.9421 0.5000  2 In 3.18-3.30, 2 Pm 3.35-3.54
Pm: 0.7687 0.2313 0.0000  2 In 3.03
Pm: 0.9421 0.6969 0.5000  2 In 3.18-3.30, 2 Pm 3.35-3.54
In: 0.3037 0.6963 0.5000  7 Pm 3.03-3.30
In: 0.6963 0.3037 0.5000  7 Pm 3.03-3.30

Record 6
Entry from the Alexandria database: La4PmIn5 after structural relaxation (PBE).

Properties
space group = P4/mmm (123)
DOS at the Fermi energy = 6.4 states/eV/cell
magnetization = 0.0 μB/cell
formation energy = -0.513 eV per atom

a b c (Å): 3.9238 3.9238 19.7542
angles (deg): 90.00 90.00 90.00
Last column: nearest neighbours and their distance in Å.
Fractional positions:
La: 0.0000 0.0000 0.1012  8 In 3.42
La: 0.0000 0.0000 0.3039  8 In 3.42-3.44
La: 0.0000 0.0000 0.6961  8 In 3.42-3.44
La: 0.0000 0.0000 0.8988  8 In 3.42
Pm: 0.0000 0.0000 0.5000  8 In 3.33
In: 0.5000 0.5000 0.0000  8 La 3.42
In: 0.5000 0.5000 0.2026  8 La 3.42
In: 0.5000 0.5000 0.4065  4 Pm 3.33, 4 La 3.44, 1 In 3.69
In: 0.5000 0.5000 0.5935  4 Pm 3.33, 4 La 3.44, 1 In 3.69
In: 0.5000 0.5000 0.7974  8 La 3.42

Record 7
Entry from the Alexandria database: LaPm14In after structural relaxation (PBE).

Properties
space group = P4/mmm (123)
DOS at the Fermi energy = 20.5 states/eV/cell
magnetization = 0.0 μB/cell
formation energy = -0.033 eV per atom

a b c (Å): 7.2282 7.2282 10.2545
angles (deg): 90.00 90.00 90.00
Last column: nearest neighbours and their distance in Å.
Fractional positions:
La: 0.0000 0.0000 0.0000  12 Pm 3.61-3.62
Pm: 0.0000 0.0000 0.5000  12 Pm 3.61-3.67
Pm: 0.0000 0.5000 0.0000  8 Pm 3.59, 2 In 3.61, 2 La 3.61
Pm: 0.0000 0.5000 0.5000  12 Pm 3.61-3.65
Pm: 0.2533 0.2533 0.2463  10 Pm 3.57-3.67, 1 In 3.57, 1 La 3.62
Pm: 0.2533 0.2533 0.7537  10 Pm 3.57-3.67, 1 In 3.57, 1 La 3.62
Pm: 0.2533 0.7467 0.2463  10 Pm 3.57-3.67, 1 In 3.57, 1 La 3.62
Pm: 0.2533 0.7467 0.7537  10 Pm 3.57-3.67, 1 In 3.57, 1 La 3.62
Pm: 0.5000 0.0000 0.0000  8 Pm 3.59, 2 In 3.61, 2 La 3.61
Pm: 0.5000 0.0000 0.5000  12 Pm 3.61-3.65
Pm: 0.5000 0.5000 0.5000  12 Pm 3.61-3.62
Pm: 0.7467 0.2533 0.2463  10 Pm 3.57-3.67, 1 In 3.57, 1 La 3.62
Pm: 0.7467 0.2533 0.7537  10 Pm 3.57-3.67, 1 In 3.57, 1 La 3.62
Pm: 0.7467 0.7467 0.2463  10 Pm 3.57-3.67, 1 In 3.57, 1 La 3.62
Pm: 0.7467 0.7467 0.7537  10 Pm 3.57-3.67, 1 In 3.57, 1 La 3.62
In: 0.5000 0.5000 0.0000  12 Pm 3.57-3.61

Record 8
Entry from the Alexandria database: LaPmIn after structural relaxation (PBE).

Properties
space group = P3m1 (156)
DOS at the Fermi energy = 2.4 states/eV/cell
magnetization = 0.0 μB/cell
offset from the most stable computed form = 42.3 meV per atom
formation energy = -0.267 eV per atom

a b c (Å): 5.3464 5.3464 3.7675
angles (deg): 90.00 90.00 120.00
Last column: nearest neighbours and their distance in Å.
Fractional positions:
La: 0.0000 0.0000 0.0000  3 In 3.35, 3 Pm 3.43
Pm: 0.6667 0.3333 0.6012  3 In 3.23, 3 La 3.43
In: 0.3333 0.6667 0.3473  3 Pm 3.23, 3 La 3.35

Record 9
Entry from the Alexandria database: La3PmIn2 after structural relaxation (PBE).

Properties
space group = C2/m (12)
DOS at the Fermi energy = 10.6 states/eV/cell
magnetization = 0.0 μB/cell
offset from the most stable computed form = 97.3 meV per atom
formation energy = -0.269 eV per atom

a b c (Å): 9.8931 9.8931 8.7430
angles (deg): 114.01 114.01 29.27
Last column: nearest neighbours and their distance in Å.
Fractional positions:
La: 0.0649 0.0649 0.1862  3 La 3.16-3.25, 2 In 3.24
La: 0.3004 0.3004 0.5233  2 La 3.08, 2 In 3.24-3.26
La: 0.3795 0.3795 0.9724  4 In 3.23-3.34, 3 La 3.25-3.56
La: 0.6205 0.6205 0.0276  4 In 3.23-3.34, 3 La 3.25-3.56
La: 0.6996 0.6996 0.4767  2 La 3.08, 2 In 3.24-3.26
La: 0.9351 0.9351 0.8138  3 La 3.16-3.25, 2 In 3.24
Pm: 0.1143 0.1143 0.6798  7 In 3.43-3.68, 2 La 3.81
Pm: 0.8857 0.8857 0.3202  7 In 3.43-3.68, 2 La 3.81
In: 0.2435 0.2435 0.1177  4 La 3.24-3.34, 2 In 3.31, 3 Pm 3.57-3.58
In: 0.4865 0.4865 0.6479  1 In 2.84
In: 0.5135 0.5135 0.3521  1 In 2.84
In: 0.7565 0.7565 0.8823  4 La 3.24-3.34, 2 In 3.31, 3 Pm 3.57-3.58

Record 10
Entry from the Alexandria database: LaPm2In after structural relaxation (PBE).

Properties
space group = R-3m (166)
DOS at the Fermi energy = 18.6 states/eV/cell
magnetization = 0.0 μB/cell
offset from the most stable computed form = 290.3 meV per atom
formation energy = 0.012 eV per atom

a b c (Å): 3.5545 3.5545 36.2875
angles (deg): 90.00 90.00 120.00
Last column: nearest neighbours and their distance in Å.
Fractional positions:
La: 0.0000 0.0000 0.0000  2 Pm 3.47, 6 La 3.55
La: 0.3333 0.6667 0.6667  2 Pm 3.47, 6 La 3.55
La: 0.6667 0.3333 0.3333  2 Pm 3.47, 6 La 3.55
Pm: 0.0000 0.0000 0.0955  3 In 3.30, 1 La 3.47, 6 Pm 3.55
Pm: 0.0000 0.0000 0.9045  3 In 3.30, 1 La 3.47, 6 Pm 3.55
Pm: 0.3333 0.6667 0.5711  3 In 3.30, 1 La 3.47, 6 Pm 3.55
Pm: 0.3333 0.6667 0.7622  3 In 3.30, 1 La 3.47, 6 Pm 3.55
Pm: 0.6667 0.3333 0.2378  3 In 3.30, 1 La 3.47, 6 Pm 3.55
Pm: 0.6667 0.3333 0.4289  3 In 3.30, 1 La 3.47, 6 Pm 3.55
In: 0.0000 0.0000 0.5000  6 Pm 3.30, 6 In 3.55
In: 0.3333 0.6667 0.1667  6 Pm 3.30, 6 In 3.55
In: 0.6667 0.3333 0.8333  6 Pm 3.30, 6 In 3.55

> Look up the formation energy of the first one.

-0.063 eV per atom